Entry 1:
ScCr3Ag | Alexandria | meta-GGA SCAN | single point on PBEsol structure; SG = No. 221; calculated formation energy = 2.162 eV/atom
1.0
4.251 0.000 0.000
0.000 4.251 0.000
0.000 0.000 4.251
Sc Cr Ag
1 3 1
direct
0.000 0.000 0.000 Sc
0.000 0.500 0.000 Cr
0.500 0.000 0.000 Cr
0.000 0.000 0.500 Cr
0.500 0.500 0.500 Ag

Entry 2:
HS2I | Alexandria | meta-GGA SCAN | single point on PBEsol structure; SG = No. 141; total DFT energy (no corrections) = -13.934 eV per atom
1.0
4.885 0.000 0.000
0.000 4.885 0.000
-2.443 -2.443 6.007
S H I
4 2 2
direct
0.625 0.875 0.250 S
0.625 0.375 0.750 S
0.125 0.375 0.750 S
0.625 0.375 0.250 S
0.500 0.500 0.000 H
0.750 0.250 0.500 H
0.250 0.750 0.500 I
0.000 0.000 0.000 I